DFT (PBE) results for an optimized crystal structure of BaNb2V.

The structure in CIF format:
```
data_BaNb2V
_chemical_formula_sum 'Ba2 Nb4 V2'
_space_group_name_H-M_alt 'P 1'
_space_group_IT_number 1
_cell_length_a 9.367
_cell_length_b 9.367
_cell_length_c 9.367
_cell_angle_alpha 147.32
_cell_angle_beta 147.32
_cell_angle_gamma 46.89
loop_
_space_group_symop_operation_xyz
'x,y,z'
loop_
_atom_site_label
_atom_site_type_symbol
_atom_site_fract_x
_atom_site_fract_y
_atom_site_fract_z
_atom_site_occupancy
Ba1 Ba 0.375 0.625 0.750 1
Ba2 Ba 0.625 0.375 0.250 1
Nb1 Nb 0.000 0.000 0.000 1
Nb2 Nb 0.000 0.000 0.500 1
Nb3 Nb 0.000 0.500 0.000 1
Nb4 Nb 0.500 0.000 0.500 1
V1 V 0.125 0.875 0.250 1
V2 V 0.875 0.125 0.750 1
```

Properties
ΔH_f (0 K) ... 1.341 eV/atom
Offset from the most stable computed form ... 191 meV/atom



DFT (PBE) results for an optimized crystal structure of CeMg2Fe.

The structure in CIF format:
```
data_CeMg2Fe
_chemical_formula_sum 'Ce1 Mg2 Fe1'
_space_group_name_H-M_alt 'P 1'
_space_group_IT_number 1
_cell_length_a 4.931
_cell_length_b 4.931
_cell_length_c 4.931
_cell_angle_alpha 60.00
_cell_angle_beta 60.00
_cell_angle_gamma 60.00
loop_
_space_group_symop_operation_xyz
'x,y,z'
loop_
_atom_site_label
_atom_site_type_symbol
_atom_site_fract_x
_atom_site_fract_y
_atom_site_fract_z
_atom_site_occupancy
Ce1 Ce 0.000 0.000 0.000 1
Mg1 Mg 0.250 0.250 0.250 1
Mg2 Mg 0.750 0.750 0.750 1
Fe1 Fe 0.500 0.500 0.500 1
```

Properties
ΔH_f (0 K) ... 0.311 eV/atom



DFT (PBE) results for an optimized crystal structure of Tb2ErTh3As6.

The structure in CIF format:
```
data_Tb2ErTh3As6
_chemical_formula_sum 'Tb2 Er1 Th3 As6'
_space_group_name_H-M_alt 'P 1'
_space_group_IT_number 1
_cell_length_a 9.358
_cell_length_b 9.358
_cell_length_c 8.347
_cell_angle_alpha 102.57
_cell_angle_beta 102.57
_cell_angle_gamma 25.93
loop_
_space_group_symop_operation_xyz
'x,y,z'
loop_
_atom_site_label
_atom_site_type_symbol
_atom_site_fract_x
_atom_site_fract_y
_atom_site_fract_z
_atom_site_occupancy
Tb1 Tb 0.167 0.167 0.333 1
Tb2 Tb 0.833 0.833 0.667 1
Er1 Er 0.500 0.500 0.000 1
Th1 Th 0.167 0.167 0.834 1
Th2 Th 0.500 0.500 0.500 1
Th3 Th 0.833 0.833 0.166 1
As1 As 0.001 0.001 0.244 1
As2 As 0.332 0.332 0.420 1
As3 As 0.336 0.336 0.914 1
As4 As 0.664 0.664 0.086 1
As5 As 0.668 0.668 0.580 1
As6 As 0.999 0.999 0.756 1
```

Properties
ΔH_f (0 K) ... -1.469 eV/atom



DFT (PBE) results for an optimized crystal structure of ErIn4.

The structure in CIF format:
```
data_ErIn4
_chemical_formula_sum 'Er1 In4'
_space_group_name_H-M_alt 'P 1'
_space_group_IT_number 1
_cell_length_a 5.841
_cell_length_b 5.841
_cell_length_c 5.841
_cell_angle_alpha 90.00
_cell_angle_beta 90.00
_cell_angle_gamma 90.00
loop_
_space_group_symop_operation_xyz
'x,y,z'
loop_
_atom_site_label
_atom_site_type_symbol
_atom_site_fract_x
_atom_site_fract_y
_atom_site_fract_z
_atom_site_occupancy
Er1 Er 0.000 0.000 0.000 1
In1 In 0.000 0.000 0.500 1
In2 In 0.000 0.500 0.000 1
In3 In 0.500 0.000 0.000 1
In4 In 0.500 0.500 0.500 1
```

Properties
ΔH_f (0 K) ... 0.517 eV/atom
Offset from the most stable computed form ... 431 meV/atom



DFT (PBE) results for an optimized crystal structure of Pr3BiN2.

The structure in CIF format:
```
data_Pr3BiN2
_chemical_formula_sum 'Pr6 Bi2 N4'
_space_group_name_H-M_alt 'P 1'
_space_group_IT_number 1
_cell_length_a 4.392
_cell_length_b 12.683
_cell_length_c 5.231
_cell_angle_alpha 90.00
_cell_angle_beta 90.00
_cell_angle_gamma 90.00
loop_
_space_group_symop_operation_xyz
'x,y,z'
loop_
_atom_site_label
_atom_site_type_symbol
_atom_site_fract_x
_atom_site_fract_y
_atom_site_fract_z
_atom_site_occupancy
Pr1 Pr 0.250 0.026 0.248 1
Pr2 Pr 0.250 0.250 0.767 1
Pr3 Pr 0.250 0.474 0.248 1
Pr4 Pr 0.750 0.526 0.752 1
Pr5 Pr 0.750 0.750 0.233 1
Pr6 Pr 0.750 0.974 0.752 1
Bi1 Bi 0.250 0.750 0.715 1
Bi2 Bi 0.750 0.250 0.285 1
N1 N 0.250 0.057 0.798 1
N2 N 0.250 0.443 0.798 1
N3 N 0.750 0.557 0.202 1
N4 N 0.750 0.943 0.202 1
```

Properties
Formation energy without anion corrections ... -109.8 kJ/mol of atoms



DFT (PBE) results for an optimized crystal structure of Ac4HoAg5.

The structure in CIF format:
```
data_Ac4HoAg5
_chemical_formula_sum 'Ac4 Ho1 Ag5'
_space_group_name_H-M_alt 'P 1'
_space_group_IT_number 1
_cell_length_a 3.873
_cell_length_b 3.873
_cell_length_c 19.695
_cell_angle_alpha 90.00
_cell_angle_beta 90.00
_cell_angle_gamma 90.00
loop_
_space_group_symop_operation_xyz
'x,y,z'
loop_
_atom_site_label
_atom_site_type_symbol
_atom_site_fract_x
_atom_site_fract_y
_atom_site_fract_z
_atom_site_occupancy
Ac1 Ac 0.000 0.000 0.103 1
Ac2 Ac 0.000 0.000 0.310 1
Ac3 Ac 0.000 0.000 0.690 1
Ac4 Ac 0.000 0.000 0.897 1
Ho1 Ho 0.000 0.000 0.500 1
Ag1 Ag 0.500 0.500 0.000 1
Ag2 Ag 0.500 0.500 0.207 1
Ag3 Ag 0.500 0.500 0.420 1
Ag4 Ag 0.500 0.500 0.580 1
Ag5 Ag 0.500 0.500 0.793 1
```

Properties
ΔH_f (0 K) ... -0.262 eV/atom



DFT (PBE) results for an optimized crystal structure of PrNd3Cu2.

The structure in CIF format:
```
data_PrNd3Cu2
_chemical_formula_sum 'Pr1 Nd3 Cu2'
_space_group_name_H-M_alt 'P 1'
_space_group_IT_number 1
_cell_length_a 3.617
_cell_length_b 3.617
_cell_length_c 12.592
_cell_angle_alpha 90.00
_cell_angle_beta 90.00
_cell_angle_gamma 90.00
loop_
_space_group_symop_operation_xyz
'x,y,z'
loop_
_atom_site_label
_atom_site_type_symbol
_atom_site_fract_x
_atom_site_fract_y
_atom_site_fract_z
_atom_site_occupancy
Pr1 Pr 0.000 0.000 0.000 1
Nd1 Nd 0.500 0.500 0.219 1
Nd2 Nd 0.500 0.500 0.500 1
Nd3 Nd 0.500 0.500 0.781 1
Cu1 Cu 0.000 0.000 0.357 1
Cu2 Cu 0.000 0.000 0.643 1
```

Properties
ΔH_f (0 K) ... -0.084 eV/atom



DFT (PBE) results for an optimized crystal structure of Na3LaSm2Se6.

The structure in CIF format:
```
data_Na3LaSm2Se6
_chemical_formula_sum 'Na3 La1 Sm2 Se6'
_space_group_name_H-M_alt 'P 1'
_space_group_IT_number 1
_cell_length_a 7.420
_cell_length_b 7.420
_cell_length_c 7.420
_cell_angle_alpha 99.60
_cell_angle_beta 99.60
_cell_angle_gamma 120.01
loop_
_space_group_symop_operation_xyz
'x,y,z'
loop_
_atom_site_label
_atom_site_type_symbol
_atom_site_fract_x
_atom_site_fract_y
_atom_site_fract_z
_atom_site_occupancy
Na1 Na 0.000 0.000 0.000 1
Na2 Na 0.334 0.666 0.000 1
Na3 Na 0.666 0.334 0.000 1
La1 La 0.500 0.500 0.500 1
Sm1 Sm 0.167 0.833 0.500 1
Sm2 Sm 0.833 0.167 0.500 1
Se1 Se 0.082 0.422 0.265 1
Se2 Se 0.239 0.239 0.736 1
Se3 Se 0.422 0.082 0.265 1
Se4 Se 0.578 0.918 0.735 1
Se5 Se 0.761 0.761 0.264 1
Se6 Se 0.918 0.578 0.735 1
```

Properties
Formation energy without anion corrections ... -165.4 kJ/mol of atoms



DFT (PBE) results for an optimized crystal structure of K2CdHg2.

The structure in CIF format:
```
data_K2CdHg2
_chemical_formula_sum 'K4 Cd2 Hg4'
_space_group_name_H-M_alt 'P 1'
_space_group_IT_number 1
_cell_length_a 8.042
_cell_length_b 8.042
_cell_length_c 5.435
_cell_angle_alpha 90.00
_cell_angle_beta 90.00
_cell_angle_gamma 90.00
loop_
_space_group_symop_operation_xyz
'x,y,z'
loop_
_atom_site_label
_atom_site_type_symbol
_atom_site_fract_x
_atom_site_fract_y
_atom_site_fract_z
_atom_site_occupancy
K1 K 0.176 0.324 0.000 1
K2 K 0.324 0.824 0.000 1
K3 K 0.676 0.176 0.000 1
K4 K 0.824 0.676 0.000 1
Cd1 Cd 0.000 0.000 0.500 1
Cd2 Cd 0.500 0.500 0.500 1
Hg1 Hg 0.135 0.635 0.500 1
Hg2 Hg 0.365 0.135 0.500 1
Hg3 Hg 0.635 0.865 0.500 1
Hg4 Hg 0.865 0.365 0.500 1
```

Properties
ΔH_f (0 K) ... -0.185 eV/atom
Offset from the most stable computed form ... 32 meV/atom



DFT (PBE) results for an optimized crystal structure of FeGe4Os2.

The structure in CIF format:
```
data_FeGe4Os2
_chemical_formula_sum 'Fe1 Ge4 Os2'
_space_group_name_H-M_alt 'P 1'
_space_group_IT_number 1
_cell_length_a 6.560
_cell_length_b 6.560
_cell_length_c 6.436
_cell_angle_alpha 113.54
_cell_angle_beta 113.54
_cell_angle_gamma 26.52
loop_
_space_group_symop_operation_xyz
'x,y,z'
loop_
_atom_site_label
_atom_site_type_symbol
_atom_site_fract_x
_atom_site_fract_y
_atom_site_fract_z
_atom_site_occupancy
Fe1 Fe 0.000 0.000 0.000 1
Ge1 Ge 0.148 0.148 0.867 1
Ge2 Ge 0.412 0.412 0.692 1
Ge3 Ge 0.588 0.588 0.308 1
Ge4 Ge 0.852 0.852 0.133 1
Os1 Os 0.256 0.256 0.315 1
Os2 Os 0.744 0.744 0.685 1
```

Properties
ΔH_f (0 K) ... 0.010 eV/atom



Computed values of electronic total energy (unit: eV/atom) for the preceding records, in sequence: -6.45; -4.09; -6.80; -2.59; -6.95; -3.79; -4.63; -4.98; -0.93; -7.05.
Computed values of D(E_F) (unit: states/eV per cell) for the preceding records, in sequence: 14.00; 7.91; 5.31; 4.57; 0.38; 6.34; 7.02; 0.00; 4.88; 0.98.